a | Here is LiCaP2Cl after structural relaxation from the Alexandria database. Energies are from PBE.

abc: 4.2680 4.2680 5.7175
angles: 90.00 90.00 90.00
With the nearest neighbours (Å) after each atom.
Fractional coordinates of all 5 atoms:
Li 0.0000 0.0000 0.0000  4 P 2.13
Ca 0.5000 0.5000 0.5000  4 Cl 3.02
P 0.0000 0.5000 0.0000  2 Li 2.13
P 0.5000 0.0000 0.0000  2 Li 2.13
Cl 0.0000 0.0000 0.5000  2 Li 2.86, 4 Ca 3.02

Space-group type ... P4/mmm
M_tot ... 0.00 μB per cell

***

b | Here is LiCaP2Cl after structural relaxation from the Alexandria database. Energies are from PBE.

abc: 5.4821 5.4821 5.3156
angles: 90.00 90.00 90.00
With the nearest neighbours (Å) after each atom.
Fractional coordinates of all 5 atoms:
Li 0.0000 0.0000 0.0000  8 P 3.82, 4 Cl 3.88
Ca 0.5000 0.5000 0.5000  2 Cl 2.66, 4 P 2.74
P 0.0000 0.5000 0.5000  2 Ca 2.74
P 0.5000 0.0000 0.5000  2 Ca 2.74
Cl 0.5000 0.5000 0.0000  2 Ca 2.66

Space-group type ... P4/mmm
M_tot ... 1.99 μB per cell

***

Name the most stable of them. a.

***

a | Here is LiCaPCl2 after structural relaxation from the Alexandria database. Energies are from PBE.

abc: 4.6623 4.6623 5.0893
angles: 90.00 90.00 90.00
With the nearest neighbours (Å) after each atom.
Fractional coordinates of all 5 atoms:
Li 0.0000 0.0000 0.0000  4 Cl 2.33, 2 P 2.54
Ca 0.5000 0.5000 0.5000  4 P 3.30, 8 Cl 3.45
P 0.0000 0.0000 0.5000  2 Li 2.54
Cl 0.0000 0.5000 0.0000  2 Li 2.33
Cl 0.5000 0.0000 0.0000  2 Li 2.33

Space-group type ... P4/mmm
M_tot ... 2.02 μB per cell

***

b | Here is LiCaPCl2 after structural relaxation from the Alexandria database. Energies are from PBE.

abc: 5.3550 5.3550 5.7545
angles: 90.00 90.00 90.00
With the nearest neighbours (Å) after each atom.
Fractional coordinates of all 5 atoms:
Li 0.0000 0.0000 0.0000  4 P 3.79, 8 Cl 3.93
Ca 0.5000 0.5000 0.5000  4 Cl 2.68, 2 P 2.88
P 0.5000 0.5000 0.0000  2 Ca 2.88
Cl 0.0000 0.5000 0.5000  2 Ca 2.68
Cl 0.5000 0.0000 0.5000  2 Ca 2.68

Space-group type ... P4/mmm
M_tot ... 2.00 μB per cell

***

Name the most stable of them. a.

***

a | Here is LiCaSCl2 after structural relaxation from the Alexandria database. Energies are from PBE.

abc: 4.6197 4.6197 4.9446
angles: 90.00 90.00 90.00
With the nearest neighbours (Å) after each atom.
Fractional coordinates of all 5 atoms:
Li 0.0000 0.0000 0.0000  4 Cl 2.31, 2 S 2.47
Ca 0.5000 0.5000 0.5000  4 S 3.27, 8 Cl 3.38
S 0.0000 0.0000 0.5000  2 Li 2.47
Cl 0.0000 0.5000 0.0000  2 Li 2.31
Cl 0.5000 0.0000 0.0000  2 Li 2.31

Space-group type ... P4/mmm
M_tot ... 1.00 μB per cell

***

b | Here is LiCaSCl2 after structural relaxation from the Alexandria database. Energies are from PBE.

abc: 5.3452 5.3452 5.4843
angles: 90.00 90.00 90.00
With the nearest neighbours (Å) after each atom.
Fractional coordinates of all 5 atoms:
Li 0.0000 0.0000 0.0000  4 S 3.78, 8 Cl 3.83
Ca 0.5000 0.5000 0.5000  4 Cl 2.67, 2 S 2.74
S 0.5000 0.5000 0.0000  2 Ca 2.74
Cl 0.0000 0.5000 0.5000  2 Ca 2.67
Cl 0.5000 0.0000 0.5000  2 Ca 2.67

Space-group type ... P4/mmm
M_tot ... 1.00 μB per cell

***

Name the most stable of them. a.

***

a | Here is LiCaS2Cl after structural relaxation from the Alexandria database. Energies are from PBE.

abc: 5.3980 5.3980 5.3546
angles: 90.00 90.00 90.00
With the nearest neighbours (Å) after each atom.
Fractional coordinates of all 5 atoms:
Li 0.0000 0.0000 0.0000  8 S 3.80, 4 Cl 3.82
Ca 0.5000 0.5000 0.5000  2 Cl 2.68, 4 S 2.70
S 0.0000 0.5000 0.5000  2 Ca 2.70
S 0.5000 0.0000 0.5000  2 Ca 2.70
Cl 0.5000 0.5000 0.0000  2 Ca 2.68

Space-group type ... P4/mmm
M_tot ... 2.00 μB per cell

***

b | Here is LiCaS2Cl after structural relaxation from the Alexandria database. Energies are from PBE.

abc: 4.3728 4.3728 5.3004
angles: 90.00 90.00 90.00
With the nearest neighbours (Å) after each atom.
Fractional coordinates of all 5 atoms:
Li 0.0000 0.0000 0.0000  4 S 2.19
Ca 0.5000 0.5000 0.5000  4 Cl 3.09, 8 S 3.44
S 0.0000 0.5000 0.0000  2 Li 2.19
S 0.5000 0.0000 0.0000  2 Li 2.19
Cl 0.0000 0.0000 0.5000  2 Li 2.65

Space-group type ... P4/mmm
M_tot ... 0.00 μB per cell

***

Name the most stable of them. b.

***

a | Here is CaMgCl2 after structural relaxation from the Alexandria database. Energies are from PBE.

abc: 3.7147 4.3230 6.4158
angles: 90.00 90.00 90.00
With the nearest neighbours (Å) after each atom.
Fractional coordinates of all 4 atoms:
Ca 0.0000 0.0000 0.0000  4 Cl 2.85
Mg 0.5000 0.0000 0.5000  4 Cl 2.85
Cl 0.0000 0.5000 0.5000  4 Mg 2.85
Cl 0.5000 0.5000 0.0000  4 Ca 2.85

Space-group type ... Pmmm
M_tot ... 0.00 μB per cell

***

b | Here is CaMgCl2 after structural relaxation from the Alexandria database. Energies are from PBE.

abc: 5.6585 5.6585 4.1736
angles: 109.62 109.62 102.19
With the nearest neighbours (Å) after each atom.
Fractional coordinates of all 4 atoms:
Ca 0.0000 0.0000 0.0000  4 Cl 2.83
Mg 0.5000 0.5000 0.0000  4 Cl 2.83
Cl 0.0000 0.5000 0.0000  2 Mg 2.83, 2 Ca 2.83
Cl 0.5000 0.0000 0.0000  2 Ca 2.83, 2 Mg 2.83

Space-group type ... C2/m
M_tot ... 0.00 μB per cell

***

c | Here is CaMgCl2 after structural relaxation from the Alexandria database. Energies are from PBE.

abc: 3.4509 3.4402 10.2104
angles: 90.00 90.38 90.00
With the nearest neighbours (Å) after each atom.
Fractional coordinates of all 4 atoms:
Ca 0.0000 0.0000 0.0000  8 Cl 2.90
Mg 0.5000 0.0000 0.5000  4 Mg 3.44-3.45
Cl 0.4978 0.5000 0.8463  4 Ca 2.90, 1 Cl 3.14
Cl 0.5022 0.5000 0.1537  4 Ca 2.90, 1 Cl 3.14

Space-group type ... P2/m
M_tot ... 0.00 μB per cell

***

Name the most stable of them. c.

***

a | Here is CaMgCl4 after structural relaxation from the Alexandria database. Energies are from PBE.

abc: 6.5541 3.8876 6.7891
angles: 90.00 94.42 90.00
With the nearest neighbours (Å) after each atom.
Fractional coordinates of all 6 atoms:
Ca 0.0000 0.0000 0.0000  6 Cl 2.73-2.75
Mg 0.0000 0.5000 0.5000  6 Cl 2.53-2.58
Cl 0.2096 0.0000 0.6637  2 Mg 2.58, 1 Ca 2.75
Cl 0.2158 0.5000 0.2071  1 Mg 2.53, 2 Ca 2.73
Cl 0.7842 0.5000 0.7929  1 Mg 2.53, 2 Ca 2.73
Cl 0.7904 0.0000 0.3363  2 Mg 2.58, 1 Ca 2.75

Space-group type ... P2/m
M_tot ... 0.00 μB per cell

***

b | Here is CaMgCl4 after structural relaxation from the Alexandria database. Energies are from PBE.

abc: 6.0363 6.0363 6.0363
angles: 60.00 60.00 60.00
With the nearest neighbours (Å) after each atom.
Fractional coordinates of all 6 atoms:
Ca 0.0000 0.0000 0.0000  12 Cl 3.54, 4 Mg 3.70
Mg 0.2500 0.2500 0.2500  12 Cl 3.54, 4 Ca 3.70
Cl 0.1257 0.6248 0.6248  6 Cl 3.01-3.02
Cl 0.6248 0.1257 0.6248  6 Cl 3.01-3.02
Cl 0.6248 0.6248 0.1257  6 Cl 3.01-3.02
Cl 0.6248 0.6248 0.6248  6 Cl 3.01-3.02

Space-group type ... F-43m
M_tot ... 1.85 μB per cell

***

Name the most stable of them. a.